--- w ---
## ZnCoGeW (PBE)

Data for a relaxed ZnCoGeW crystal.

Magnetization in μB/f.u.: 1.03

Cell: 6.080 6.080 6.080 Å, 90.00 90.00 90.00°
Space group F-43m (No. 216)
Unique sites:
Zn: 0.000 0.000 0.000 [4 per cell]
Co: 0.000 0.000 0.500 [4 per cell]
Ge: 0.250 0.250 0.250 [4 per cell]
W: 0.250 0.250 0.750 [4 per cell]

***

--- x ---
## ZnCoGeW (PBE)

Data for a relaxed ZnCoGeW crystal.

Magnetization in μB/f.u.: 1.48

Cell: 6.053 6.053 6.053 Å, 90.00 90.00 90.00°
Space group F-43m (No. 216)
Unique sites:
Zn: 0.000 0.000 0.000 [4 per cell]
Co: 0.250 0.250 0.750 [4 per cell]
Ge: 0.000 0.000 0.500 [4 per cell]
W: 0.250 0.250 0.250 [4 per cell]

***

Of them, x has the highest stability.

***

--- w ---
## YZnCoGe (PBE)

Data for a relaxed YZnCoGe crystal.

Magnetization in μB/f.u.: 0.01

Cell: 6.409 6.409 6.409 Å, 90.00 90.00 90.00°
Space group F-43m (No. 216)
Unique sites:
Y: 0.000 0.000 0.000 [4 per cell]
Zn: 0.250 0.250 0.250 [4 per cell]
Co: 0.250 0.250 0.750 [4 per cell]
Ge: 0.000 0.000 0.500 [4 per cell]

***

--- x ---
## YZnCoGe (PBE)

Data for a relaxed YZnCoGe crystal.

Magnetization in μB/f.u.: 0.17

Cell: 6.439 6.439 6.439 Å, 90.00 90.00 90.00°
Space group F-43m (No. 216)
Unique sites:
Y: 0.000 0.000 0.000 [4 per cell]
Zn: 0.250 0.250 0.750 [4 per cell]
Co: 0.000 0.000 0.500 [4 per cell]
Ge: 0.250 0.250 0.250 [4 per cell]

***

Of them, x has the highest stability.